(1)
Density functional theory data (PBE) for crystalline CrCoOs2 at its relaxed geometry.

The structure in POSCAR format:
```
CrCoOs2
1.0
4.489 0.000 0.000
0.000 2.663 0.000
-1.571 0.000 4.333
Cr Co Os
1 1 2
direct
0.000 0.000 0.000
0.000 0.500 0.500
0.500 0.000 0.500
0.500 0.500 0.000
```

- excess energy over the best structure of this formula in the dataset (meV/atom) = 63

(2)
Density functional theory data (PBE) for crystalline CrCoOs at its relaxed geometry.

The structure in POSCAR format:
```
CrCoOs
1.0
-1.294 1.842 3.872
1.294 -1.842 3.872
1.294 1.842 -3.872
Cr Co Os
1 1 1
direct
0.000 0.000 0.000
0.336 0.336 0.000
0.669 0.669 0.000
```

- excess energy over the best structure of this formula in the dataset (meV/atom) = 36

(3)
Density functional theory data (PBE) for crystalline Cr2CoOs at its relaxed geometry.

The structure in POSCAR format:
```
Cr2CoOs
1.0
4.163 0.000 0.000
0.000 4.163 0.000
0.000 0.000 2.912
Cr Co Os
2 1 1
direct
0.000 0.500 0.000
0.500 0.000 0.000
0.000 0.000 0.500
0.500 0.500 0.500
```

(4)
Density functional theory data (PBE) for crystalline CrCoOs2 at its relaxed geometry.

The structure in POSCAR format:
```
CrCoOs2
1.0
1.332 0.769 8.457
-1.332 0.769 8.457
0.000 -1.538 8.457
Cr Co Os
1 1 2
direct
0.000 0.000 0.000
0.256 0.256 0.256
0.507 0.507 0.507
0.750 0.750 0.750
```

- excess energy over the best structure of this formula in the dataset (meV/atom) = 153

Total energy for the records above, in order: -9.674; -9.208; -9.220; -9.584 eV/atom
E_form for the records above, in order: 0.5; 0.3; 0.7; 0.9 eV/f.u.